Entry from OQMD: a relaxed structure of KPrFeS3 (PBE-GGA).

Summary:
**Total magnetic moment**: 8.0 μB/cell
**E**: -5.7187 eV/atom
**Energy above the lowest structure with this stoichiometry**: 0.003 eV per atom

Unit cell a=8.443 b=4.070 c=9.957 alpha=90.00 beta=106.04 gamma=90.00
Site moments in Bohr magnetons follow the coordinates.
Element x y z (fractional)
1 Fe 0.430 0.750 0.411  3.25
2 Fe 0.570 0.250 0.589  3.25
3 K 0.746 0.250 0.282  0.00
4 K 0.254 0.750 0.718  0.00
5 Pr 0.185 0.250 0.142  0.02
6 Pr 0.815 0.750 0.858  0.02
7 S 0.952 0.750 0.150  0.02
8 S 0.432 0.750 0.182  0.11
9 S 0.296 0.250 0.454  0.18
10 S 0.704 0.750 0.546  0.18
11 S 0.568 0.250 0.818  0.11
12 S 0.048 0.250 0.850  0.02


Entry from OQMD: a relaxed structure of Sr2BiH6Ir (PBE-GGA).

Summary:
**Total magnetic moment**: 0.0 μB/cell
**E**: -3.9764 eV/atom

Unit cell a=5.841 b=5.841 c=5.841 alpha=60.00 beta=60.00 gamma=60.00
Element x y z (fractional)
1 Bi 0.000 0.000 0.000
2 H 0.295 0.705 0.295
3 H 0.705 0.295 0.295
4 H 0.705 0.705 0.295
5 H 0.295 0.295 0.705
6 H 0.705 0.295 0.705
7 H 0.295 0.705 0.705
8 Ir 0.500 0.500 0.500
9 Sr 0.250 0.250 0.250
10 Sr 0.750 0.750 0.750


Entry from OQMD: a relaxed structure of RbCuSnSe3 (PBE-GGA).

Summary:
**E**: -3.7682 eV/atom
**Energy above the lowest structure with this stoichiometry**: 0.000 eV per atom

Unit cell a=8.863 b=4.082 c=10.230 alpha=90.00 beta=112.21 gamma=90.00
Element x y z (fractional)
1 Cu 0.565 0.250 0.078
2 Cu 0.435 0.750 0.922
3 Rb 0.252 0.750 0.207
4 Rb 0.748 0.250 0.793
5 Se 0.728 0.750 0.066
6 Se 0.601 0.250 0.332
7 Se 0.046 0.250 0.362
8 Se 0.954 0.750 0.638
9 Se 0.399 0.750 0.668
10 Se 0.272 0.250 0.934
11 Sn 0.819 0.750 0.353
12 Sn 0.181 0.250 0.647


Entry from OQMD: a relaxed structure of SiSbPt5 (PBE-GGA).

Summary:
**Total magnetic moment**: 0.0 μB/cell
**E**: -5.9665 eV/atom

Unit cell a=3.966 b=3.966 c=7.584 alpha=90.00 beta=90.00 gamma=90.00
Element x y z (fractional)
1 Pt 0.000 0.000 0.000
2 Pt 0.500 0.000 0.251
3 Pt 0.000 0.500 0.251
4 Pt 0.500 0.000 0.749
5 Pt 0.000 0.500 0.749
6 Sb 0.000 0.000 0.500
7 Si 0.500 0.500 0.000


Entry from OQMD: a relaxed structure of Ho2InGa5 (PBE-GGA).

Summary:
**Total magnetic moment**: 0.0 μB/cell
**E**: -3.8387 eV/atom

Unit cell a=4.654 b=6.293 c=6.293 alpha=60.69 beta=90.00 gamma=90.00
Element x y z (fractional)
1 Ga 0.500 0.149 0.149
2 Ga 0.500 0.698 0.155
3 Ga 0.000 0.856 0.304
4 Ga 0.500 0.155 0.698
5 Ga 0.000 0.304 0.856
6 Ho 0.000 0.336 0.336
7 Ho 0.500 0.657 0.657
8 In 0.000 0.845 0.845


Entry from OQMD: a relaxed structure of MgGaPd2 (PBE-GGA).

Summary:
**E**: -4.4455 eV/atom

Unit cell a=4.349 b=4.349 c=3.259 alpha=90.00 beta=90.00 gamma=90.00
Element x y z (fractional)
1 Ga 0.000 0.000 0.000
2 Mg 0.500 0.500 0.000
3 Pd 0.500 0.000 0.500
4 Pd 0.000 0.500 0.500


Entry from OQMD: a relaxed structure of Fe3P (PBE-GGA).

Summary:
**Total magnetic moment**: 2.2 μB/cell
**E**: -7.8490 eV/atom
**Energy above the lowest structure with this stoichiometry**: 0.000 eV per atom

Unit cell a=4.837 b=4.837 c=3.591 alpha=90.00 beta=90.00 gamma=101.48
Site moments in Bohr magnetons follow the coordinates.
Element x y z (fractional)
1 Fe 0.330 0.096 0.250  -0.13
2 Fe 0.404 0.596 0.250  1.36
3 Fe 0.904 0.670 0.250  -0.17
4 Fe 0.096 0.330 0.750  -0.17
5 Fe 0.596 0.404 0.750  1.36
6 Fe 0.670 0.904 0.750  -0.13
7 P 0.817 0.183 0.250  0.01
8 P 0.183 0.817 0.750  0.01


Entry from OQMD: a relaxed structure of PmPrI2O2 (PBE-GGA).

Summary:
**Total magnetic moment**: 0.0 μB/cell
**E**: -6.4228 eV/atom

Unit cell a=4.078 b=4.078 c=9.233 alpha=90.00 beta=90.00 gamma=90.00
Element x y z (fractional)
1 I 0.000 0.000 0.331
2 I 0.500 0.500 0.670
3 O 0.500 0.000 0.998
4 O 0.000 0.500 0.998
5 Pm 0.000 0.000 0.875
6 Pr 0.500 0.500 0.128